## CuSi2Rh (PBE)

Data for an optimized crystal structure of CuSi2Rh.

abc: 2.7438 4.9565 8.1637
angles: 90.00 90.00 90.00
Sites, in units of the cell vectors:
Cu: 0.0000 0.0000 0.0000
Cu: 0.5000 0.5000 0.0000
Si: 0.0000 0.5000 0.2523
Si: 0.0000 0.5000 0.7477
Si: 0.5000 0.0000 0.2523
Si: 0.5000 0.0000 0.7477
Rh: 0.0000 0.0000 0.5000
Rh: 0.5000 0.5000 0.5000

Summary:
**Uncorrected formation energy**: -0.12 eV/f.u.



## YZnOs2 (PBE)

Data for an optimized crystal structure of YZnOs2.

abc: 2.8590 3.7152 6.7151
angles: 90.00 90.00 90.00
Sites, in units of the cell vectors:
Y: 0.0000 0.0000 0.0000
Zn: 0.5000 0.5000 0.2985
Os: 0.0000 0.0000 0.5267
Os: 0.5000 0.5000 0.6916

Summary:
**ΔE_f**: 104 meV per atom



## Pm5ThN4 (PBE)

Data for an optimized crystal structure of Pm5ThN4.

abc: 8.1271 8.1271 7.4351
angles: 102.49 102.49 25.71
Sites, in units of the cell vectors:
Pm: 0.0000 0.0000 0.0000
Pm: 0.3334 0.3334 0.6508
Pm: 0.3393 0.3393 0.1906
Pm: 0.6607 0.6607 0.8094
Pm: 0.6666 0.6666 0.3492
Th: 0.0000 0.0000 0.5000
N: 0.1654 0.1654 0.5826
N: 0.4982 0.4982 0.2564
N: 0.5018 0.5018 0.7436
N: 0.8346 0.8346 0.4174

Summary:
**Uncorrected formation energy**: -11.54 eV/f.u.



## SrCr2AgOs (PBE)

Data for an optimized crystal structure of SrCr2AgOs.

abc: 4.7565 4.7565 5.0618
angles: 90.00 90.00 90.00
Sites, in units of the cell vectors:
Sr: 0.0000 0.0000 0.0000
Cr: 0.0000 0.5000 0.5000
Cr: 0.5000 0.0000 0.5000
Ag: 0.5000 0.5000 0.5000
Os: 0.5000 0.5000 0.0000

Summary:
**ΔE_f**: 2072 meV per atom



## YLuNi (PBE)

Data for an optimized crystal structure of YLuNi.

abc: 6.6437 6.6437 6.6437
angles: 90.00 90.00 90.00
Sites, in units of the cell vectors:
Y: 0.0000 0.0000 0.0000
Y: 0.0000 0.5000 0.5000
Y: 0.5000 0.0000 0.5000
Y: 0.5000 0.5000 0.0000
Lu: 0.0000 0.0000 0.5000
Lu: 0.0000 0.5000 0.0000
Lu: 0.5000 0.0000 0.0000
Lu: 0.5000 0.5000 0.5000
Ni: 0.2500 0.2500 0.7500
Ni: 0.2500 0.7500 0.2500
Ni: 0.7500 0.2500 0.2500
Ni: 0.7500 0.7500 0.7500

Summary:
**ΔE_f**: -179 meV per atom



## CsNaZn2Pb (PBE)

Data for an optimized crystal structure of CsNaZn2Pb.

abc: 6.1153 6.1153 6.5043
angles: 90.00 90.00 90.00
Sites, in units of the cell vectors:
Cs: 0.0000 0.0000 0.0000
Na: 0.0000 0.0000 0.5000
Zn: 0.0000 0.5000 0.0000
Zn: 0.5000 0.0000 0.0000
Pb: 0.5000 0.5000 0.5000

Summary:
**ΔE_f**: 865 meV per atom



## Pm4Dy2Ho2Er (PBE)

Data for an optimized crystal structure of Pm4Dy2Ho2Er.

abc: 8.0167 8.0167 8.0038
angles: 107.51 107.51 36.82
Sites, in units of the cell vectors:
Pm: 0.0544 0.0544 0.3313
Pm: 0.2775 0.2775 0.6680
Pm: 0.7225 0.7225 0.3320
Pm: 0.9456 0.9456 0.6687
Dy: 0.3886 0.3886 0.3305
Dy: 0.6114 0.6114 0.6695
Ho: 0.1668 0.1668 0.9998
Ho: 0.8332 0.8332 0.0002
Er: 0.5000 0.5000 0.0000

Summary:
**ΔE_f**: 20 meV per atom



## LaTh14Sc (PBE)

Data for an optimized crystal structure of LaTh14Sc.

abc: 11.5660 7.1572 7.1572
angles: 59.97 90.00 90.00
Sites, in units of the cell vectors:
La: 0.0000 0.0000 0.0000
Th: 0.0000 0.9997 0.4909
Th: 0.0000 0.4909 0.9997
Th: 0.2476 0.6637 0.6637
Th: 0.2488 0.1671 0.6625
Th: 0.2488 0.6625 0.1671
Th: 0.2525 0.1651 0.1651
Th: 0.5000 0.3320 0.3320
Th: 0.5000 0.3318 0.8302
Th: 0.5000 0.8302 0.3318
Th: 0.5000 0.8313 0.8313
Th: 0.7475 0.1651 0.1651
Th: 0.7512 0.1671 0.6625
Th: 0.7512 0.6625 0.1671
Th: 0.7524 0.6637 0.6637
Sc: 0.0000 0.4984 0.4984

Summary:
**ΔE_f**: 41 meV per atom



Electronic total energy per entry: -22.42, -29.78, -76.02, -24.65, -17.30, -4.10, -41.75, -114.48 eV per formula unit